No. 1
# GaTeIr2

A geometry-optimized GaTeIr2 structure (PBE-GGA, the Alexandria database).

Unit cell a=7.229 b=7.229 c=7.229 alpha=134.63 beta=134.63 gamma=66.10
Element x y z (fractional)
Ga  0.000  0.000  0.000
Ga  0.750  0.250  0.500
Te  0.250  0.750  0.500
Te  0.500  0.500  0.000
Ir  0.108  0.625  0.983
Ir  0.375  0.358  0.483
Ir  0.642  0.125  0.017
Ir  0.875  0.892  0.517

Values from the calculation:
Total magnetization (μB/cell): 0.00
Density of states at the Fermi level (states/eV/cell): 3.95
Volume (Å³/atom): 23.5
Uncorrected formation energy (meV/atom): 321
E above lowest polymorph (meV per atom): 55

***

No. 2
# SmCoBr

A geometry-optimized SmCoBr structure (PBE-GGA, the Alexandria database).

Unit cell a=11.959 b=11.959 c=11.959 alpha=19.12 beta=19.12 gamma=19.12
Element x y z (fractional)
Sm  0.054  0.054  0.054
Sm  0.946  0.946  0.946
Co  0.335  0.335  0.335
Co  0.665  0.665  0.665
Br  0.223  0.223  0.223
Br  0.777  0.777  0.777

Values from the calculation:
Total magnetization (μB/cell): 0.51
Density of states at the Fermi level (states/eV/cell): 3.87
Volume (Å³/atom): 26.7
Uncorrected formation energy (meV/atom): -983

***

No. 3
# AlSeCl2

A geometry-optimized AlSeCl2 structure (PBE-GGA, the Alexandria database).

Unit cell a=5.159 b=5.159 c=3.221 alpha=90.00 beta=90.00 gamma=90.00
Element x y z (fractional)
Al  0.000  0.000  0.000
Se  0.500  0.500  0.000
Cl  0.000  0.500  0.500
Cl  0.500  0.000  0.500

Values from the calculation:
Total magnetization (μB/cell): 0.00
Density of states at the Fermi level (states/eV/cell): 2.75
Volume (Å³/atom): 21.4
Uncorrected formation energy (meV/atom): 246
E above lowest polymorph (meV per atom): 1154

***

No. 4
# Sm2TmTl3S6

A geometry-optimized Sm2TmTl3S6 structure (PBE-GGA, the Alexandria database).

Unit cell a=7.061 b=7.061 c=7.872 alpha=98.60 beta=98.60 gamma=119.99
Element x y z (fractional)
Sm  0.167  0.833  0.000
Sm  0.833  0.167  0.000
Tm  0.500  0.500  0.000
Tl  0.000  0.000  0.500
Tl  0.332  0.668  0.500
Tl  0.668  0.332  0.500
S  0.109  0.434  0.801
S  0.243  0.243  0.201
S  0.434  0.109  0.801
S  0.566  0.891  0.199
S  0.757  0.757  0.799
S  0.891  0.566  0.199

Values from the calculation:
Total magnetization (μB/cell): 0.00
Density of states at the Fermi level (states/eV/cell): 0.00
Volume (Å³/atom): 27.0
Uncorrected formation energy (meV/atom): -1473

***

No. 5
# Ac5DyTe8

A geometry-optimized Ac5DyTe8 structure (PBE-GGA, the Alexandria database).

Unit cell a=8.556 b=8.556 c=8.556 alpha=109.72 beta=109.72 gamma=108.97
Element x y z (fractional)
Ac  0.000  0.000  0.000
Ac  0.125  0.252  0.626
Ac  0.501  0.875  0.128
Ac  0.626  0.499  0.374
Ac  0.748  0.374  0.872
Dy  0.250  0.750  0.500
Te  0.032  0.627  0.749
Te  0.224  0.482  0.114
Te  0.368  0.110  0.886
Te  0.373  0.122  0.405
Te  0.518  0.632  0.743
Te  0.717  0.968  0.595
Te  0.878  0.283  0.251
Te  0.890  0.776  0.257

Values from the calculation:
Total magnetization (μB/cell): 0.00
Density of states at the Fermi level (states/eV/cell): 11.08
Volume (Å³/atom): 34.4
Uncorrected formation energy (meV/atom): -1513

***

No. 6
# ErTmHgPb

A geometry-optimized ErTmHgPb structure (PBE-GGA, the Alexandria database).

Unit cell a=5.291 b=5.291 c=5.291 alpha=60.00 beta=60.00 gamma=60.00
Element x y z (fractional)
Er  0.000  0.000  0.000
Tm  0.500  0.500  0.500
Hg  0.250  0.250  0.250
Pb  0.750  0.750  0.750

Values from the calculation:
DFT formation energy (eV per atom): -0.411
Total magnetization (μB/cell): 0.00
Density of states at the Fermi level (states/eV/cell): 3.93
Volume (Å³/atom): 26.2
E above lowest polymorph (meV per atom): 12

***

> What is the total magnetization in the fourth record?

0.00 μB/cell